(1)
# PBE BaAcSe2, optimized geometry
data_BaAcSe2
_chemical_formula_sum 'Ba1 Ac1 Se2'
_cell_length_a 5.517
_cell_length_b 5.517
_cell_length_c 5.517
_cell_angle_alpha 60.00
_cell_angle_beta 60.00
_cell_angle_gamma 60.00
_space_group_name_H-M_alt 'P 1'
_space_group_IT_number 1
_space_group_name_Hall 'P 1'
loop_
_atom_site_label
_atom_site_type_symbol
_atom_site_fract_x
_atom_site_fract_y
_atom_site_fract_z
Ac1 Ac 0.000 0.000 0.000
Ba1 Ba 0.500 0.500 0.500
Se1 Se 0.250 0.250 0.250
Se2 Se 0.750 0.750 0.750
# Distance to the lowest polymorph of the same formula ... 25.7 kJ per mole of atoms
# VASP energy ... -4.939 eV/atom
# Formation energy without anion corrections ... -1.689 eV/atom
# Total magnetic moment ... 0.000 μB/atom

(2)
# PBE Ac4Al2Co, optimized geometry
data_Ac4Al2Co
_chemical_formula_sum 'Ac4 Al2 Co1'
_cell_length_a 5.414
_cell_length_b 5.414
_cell_length_c 9.130
_cell_angle_alpha 107.25
_cell_angle_beta 107.25
_cell_angle_gamma 90.00
_space_group_name_H-M_alt 'P 1'
_space_group_IT_number 1
_space_group_name_Hall 'P 1'
loop_
_atom_site_label
_atom_site_type_symbol
_atom_site_fract_x
_atom_site_fract_y
_atom_site_fract_z
Ac1 Ac 0.821 0.821 0.643
Ac2 Ac 0.179 0.179 0.357
Ac3 Ac 0.000 0.500 0.000
Ac4 Ac 0.500 0.000 0.000
Co1 Co 0.000 0.000 0.000
Al1 Al 0.629 0.629 0.257
Al2 Al 0.371 0.371 0.743
# VASP energy ... -4.458 eV/atom
# Energy of formation from the pure elements ... -2.5 kJ/mol of atoms
# Total magnetic moment ... 0.000 μB/atom

(3)
# PBE Al2CuOsCl, optimized geometry
data_Al2CuOsCl
_chemical_formula_sum 'Al2 Cu1 Os1 Cl1'
_cell_length_a 4.680
_cell_length_b 4.353
_cell_length_c 4.680
_cell_angle_alpha 90.00
_cell_angle_beta 90.00
_cell_angle_gamma 90.00
_space_group_name_H-M_alt 'P 1'
_space_group_IT_number 1
_space_group_name_Hall 'P 1'
loop_
_atom_site_label
_atom_site_type_symbol
_atom_site_fract_x
_atom_site_fract_y
_atom_site_fract_z
Os1 Os 0.000 0.500 0.000
Al1 Al 0.000 0.000 0.500
Al2 Al 0.500 0.000 0.000
Cu1 Cu 0.500 0.500 0.500
Cl1 Cl 0.000 0.000 0.000
# VASP energy ... -3.558 eV/atom
# Formation energy without anion corrections ... 1.374 eV/atom
# Total magnetic moment ... 0.082 μB/atom

(4)
# PBE MnHgH, optimized geometry
data_MnHgH
_chemical_formula_sum 'Mn2 Hg2 H2'
_cell_length_a 2.773
_cell_length_b 3.360
_cell_length_c 9.109
_cell_angle_alpha 87.48
_cell_angle_beta 98.61
_cell_angle_gamma 113.88
_space_group_name_H-M_alt 'P 1'
_space_group_IT_number 1
_space_group_name_Hall 'P 1'
loop_
_atom_site_label
_atom_site_type_symbol
_atom_site_fract_x
_atom_site_fract_y
_atom_site_fract_z
H1 H 0.849 0.096 0.606
H2 H 0.151 0.904 0.394
Mn1 Mn 0.161 0.745 0.577
Mn2 Mn 0.839 0.255 0.423
Hg1 Hg 0.716 0.585 0.847
Hg2 Hg 0.284 0.415 0.153
# Distance to the lowest polymorph of the same formula ... 10.6 kJ per mole of atoms
# VASP energy ... -3.993 eV/atom
# Total magnetic moment ... 0.000 μB/atom

(5)
# PBE NdAl2AgAu4, optimized geometry
data_NdAl2AgAu4
_chemical_formula_sum 'Nd1 Al2 Ag1 Au4'
_cell_length_a 4.472
_cell_length_b 4.472
_cell_length_c 9.539
_cell_angle_alpha 76.44
_cell_angle_beta 76.44
_cell_angle_gamma 60.00
_space_group_name_H-M_alt 'P 1'
_space_group_IT_number 1
_space_group_name_Hall 'P 1'
loop_
_atom_site_label
_atom_site_type_symbol
_atom_site_fract_x
_atom_site_fract_y
_atom_site_fract_z
Nd1 Nd 0.000 0.000 0.000
Al1 Al 0.761 0.761 0.717
Al2 Al 0.239 0.239 0.283
Ag1 Ag 0.500 0.500 0.500
Au1 Au 0.396 0.396 0.812
Au2 Au 0.876 0.876 0.371
Au3 Au 0.124 0.124 0.629
Au4 Au 0.604 0.604 0.188
# VASP energy ... -3.974 eV/atom
# Energy of formation from the pure elements ... -43.2 kJ/mol of atoms
# Total magnetic moment ... 0.000 μB/atom

(6)
# PBE NdErZnRh, optimized geometry
data_NdErZnRh
_chemical_formula_sum 'Nd1 Er1 Zn1 Rh1'
_cell_length_a 3.923
_cell_length_b 4.400
_cell_length_c 5.707
_cell_angle_alpha 90.00
_cell_angle_beta 110.10
_cell_angle_gamma 90.00
_space_group_name_H-M_alt 'P 1'
_space_group_IT_number 1
_space_group_name_Hall 'P 1'
loop_
_atom_site_label
_atom_site_type_symbol
_atom_site_fract_x
_atom_site_fract_y
_atom_site_fract_z
Nd1 Nd 0.144 0.000 0.288
Er1 Er 0.863 0.500 0.726
Zn1 Zn 0.569 0.500 0.139
Rh1 Rh 0.423 0.000 0.846
# Distance to the lowest polymorph of the same formula ... 0.0 kJ per mole of atoms
# VASP energy ... -5.046 eV/atom
# Energy of formation from the pure elements ... -53.8 kJ/mol of atoms
# Total magnetic moment ... 0.000 μB/atom

(7)
# PBE TiAlI2N, optimized geometry
data_TiAlI2N
_chemical_formula_sum 'Ti1 Al1 I2 N1'
_cell_length_a 5.727
_cell_length_b 5.727
_cell_length_c 3.540
_cell_angle_alpha 90.00
_cell_angle_beta 90.00
_cell_angle_gamma 90.00
_space_group_name_H-M_alt 'P 1'
_space_group_IT_number 1
_space_group_name_Hall 'P 1'
loop_
_atom_site_label
_atom_site_type_symbol
_atom_site_fract_x
_atom_site_fract_y
_atom_site_fract_z
I1 I 0.000 0.500 0.000
I2 I 0.500 0.000 0.000
N1 N 0.000 0.000 0.500
Al1 Al 0.000 0.000 0.000
Ti1 Ti 0.500 0.500 0.500
# Distance to the lowest polymorph of the same formula ... 33.8 kJ per mole of atoms
# VASP energy ... -4.356 eV/atom
# Formation energy without anion corrections ... 0.256 eV/atom
# Total magnetic moment ... 0.463 μB/atom

(8)
# PBE Pm6GeRh2Br3, optimized geometry
data_Pm6GeRh2Br3
_chemical_formula_sum 'Pm6 Ge1 Rh2 Br3'
_cell_length_a 7.249
_cell_length_b 7.249
_cell_length_c 7.977
_cell_angle_alpha 98.71
_cell_angle_beta 98.71
_cell_angle_gamma 120.01
_space_group_name_H-M_alt 'P 1'
_space_group_IT_number 1
_space_group_name_Hall 'P 1'
loop_
_atom_site_label
_atom_site_type_symbol
_atom_site_fract_x
_atom_site_fract_y
_atom_site_fract_z
Pm1 Pm 0.934 0.587 0.799
Pm2 Pm 0.720 0.720 0.200
Pm3 Pm 0.066 0.413 0.201
Pm4 Pm 0.587 0.934 0.799
Pm5 Pm 0.280 0.280 0.800
Pm6 Pm 0.413 0.066 0.201
Ge1 Ge 0.000 0.000 0.000
Rh1 Rh 0.333 0.667 0.000
Rh2 Rh 0.667 0.333 0.000
Br1 Br 0.162 0.838 0.500
Br2 Br 0.838 0.162 0.500
Br3 Br 0.500 0.500 0.500
# VASP energy ... -5.450 eV/atom
# Formation energy without anion corrections ... -1.046 eV/atom
# Total magnetic moment ... 0.000 μB/atom